VASP calculation (GGA-PBE) on a geometry-optimized CsKNa2 structure.

a b c (Å): 11.046 11.046 8.864
angles (deg): 51.46 51.46 90.00
Positions (direct):
1 Cs 0.750 0.250 0.500
2 Cs 0.000 0.000 0.000
3 Na 0.875 0.854 0.750
4 Na 0.375 0.396 0.750
5 Na 0.604 0.125 0.250
6 Na 0.146 0.625 0.250
7 K 0.500 0.500 0.000
8 K 0.250 0.750 0.500

Properties
* E above lowest polymorph: 80 meV per atom
* formation enthalpy at 0 K: 0.101 eV per atom
* symmetry: No. 122
* M_tot: 0.00 μB per cell